# 1
Computed, not measured: crystalline PmPrDy6 at its relaxed geometry at the PBE-GGA level of DFT.

extended XYZ file:
```
8
Lattice="-3.704 -4.244 2.362 1.119 -0.933 -5.932 9.224 -1.101 1.390" Properties=species:S:1:pos:R:3 pbc="T T T"
Dy 4.706 -3.987 -0.733
Dy -1.483 -3.409 -0.457
Dy 1.933 -2.291 -1.447
Dy 5.946 -1.504 0.980
Dy 8.122 -2.868 -1.723
Dy 0.693 -4.774 -3.159
Pr 2.760 -2.672 1.876
Pm 0.000 0.000 0.000
```

Computed properties:
Calculated formation energy, eV per atom: 0.364
Relative energy among the computed polymorphs, eV per atom: 0.343

***

# 2
Computed, not measured: crystalline Cd2B2O at its relaxed geometry at the PBE-GGA level of DFT.

extended XYZ file:
```
5
Lattice="-0.700 -3.407 -3.057 0.782 -3.136 3.316 -3.065 -0.010 0.713" Properties=species:S:1:pos:R:3 pbc="T T T"
B -1.533 -0.005 0.357
B 0.000 0.000 0.000
Cd 0.391 -1.568 1.658
Cd -0.350 -1.704 -1.528
O -1.492 -3.276 0.486
```

Computed properties:
Formation energy (no corrections), eV/atom: 0.2170

***

# 3
Computed, not measured: crystalline SrPaRhN3 at its relaxed geometry at the PBE-GGA level of DFT.

extended XYZ file:
```
12
Lattice="-2.542 -1.747 1.778 4.743 -1.712 5.097 -4.301 8.260 1.968" Properties=species:S:1:pos:R:3 pbc="T T T"
N -3.896 6.617 2.714
N -0.178 -1.181 3.931
N -3.990 3.484 3.065
N -1.921 5.982 4.913
N 1.890 1.318 5.778
N 1.797 -1.816 6.129
Pa -4.146 5.236 4.564
Pa 2.046 -0.435 4.279
Rh -3.469 1.751 2.107
Rh 1.370 3.050 6.736
Sr -0.383 0.583 1.807
Sr -1.717 4.218 7.036
```

Computed properties:
Formation energy (no corrections), eV/atom: -0.8411

***

Number 3 is which compound? SrPaRhN3